## w
DFT (GGA-PBE) results for a relaxed structure of La2Y4Er.

Unit cell a=9.017 b=9.017 c=11.749 alpha=130.63 beta=130.63 gamma=44.23
Atoms (fractional coordinates):
La (0.000, 0.000, 0.000)
La (0.102, 0.343, 0.973)
La (0.657, 0.898, 0.027)
La (0.995, 0.005, 0.500)
Y (0.214, 0.776, 0.744)
Y (0.224, 0.786, 0.256)
Y (0.357, 0.332, 0.841)
Y (0.357, 0.335, 0.349)
Y (0.663, 0.333, 0.750)
Y (0.665, 0.643, 0.651)
Y (0.667, 0.337, 0.250)
Y (0.668, 0.643, 0.159)
Er (0.108, 0.345, 0.476)
Er (0.655, 0.892, 0.524)

* theoretical density: 5.61 Mg/m³

=====

## x
DFT (GGA-PBE) results for a relaxed structure of La2Y4Er.

Unit cell a=12.046 b=12.046 c=3.440 alpha=90.00 beta=90.00 gamma=151.43
Atoms (fractional coordinates):
La (0.217, 0.783, 0.000)
La (0.783, 0.217, 0.000)
Y (0.077, 0.923, 0.500)
Y (0.367, 0.633, 0.000)
Y (0.633, 0.367, 0.000)
Y (0.923, 0.077, 0.500)
Er (0.500, 0.500, 0.500)

* theoretical density: 5.57 Mg/m³

=====

Quick one: least stable of them? x

=====

## w
DFT (GGA-PBE) results for a relaxed structure of LaY3Er5.

Unit cell a=9.802 b=9.802 c=9.802 alpha=127.43 beta=127.43 gamma=77.55
Atoms (fractional coordinates):
La (0.250, 0.750, 0.500)
La (0.750, 0.250, 0.500)
Y (0.119, 0.619, 0.738)
Y (0.250, 0.250, 0.000)
Y (0.381, 0.119, 0.500)
Y (0.619, 0.881, 0.500)
Y (0.750, 0.750, 0.000)
Y (0.881, 0.381, 0.262)
Er (0.000, 0.000, 0.000)
Er (0.066, 0.161, 0.500)
Er (0.161, 0.661, 0.096)
Er (0.339, 0.434, 0.500)
Er (0.434, 0.934, 0.096)
Er (0.500, 0.500, 0.000)
Er (0.566, 0.066, 0.904)
Er (0.661, 0.566, 0.500)
Er (0.839, 0.339, 0.904)
Er (0.934, 0.839, 0.500)

* theoretical density: 7.16 Mg/m³

=====

## x
DFT (GGA-PBE) results for a relaxed structure of LaY3Er5.

Unit cell a=10.054 b=10.054 c=11.185 alpha=111.97 beta=111.97 gamma=34.86
Atoms (fractional coordinates):
La (0.137, 0.863, 0.750)
La (0.863, 0.137, 0.250)
Y (0.000, 0.000, 0.000)
Y (0.000, 0.000, 0.500)
Y (0.051, 0.595, 0.638)
Y (0.405, 0.949, 0.862)
Y (0.595, 0.051, 0.138)
Y (0.949, 0.405, 0.362)
Er (0.089, 0.571, 0.971)
Er (0.095, 0.577, 0.305)
Er (0.375, 0.625, 0.250)
Er (0.423, 0.905, 0.195)
Er (0.429, 0.911, 0.529)
Er (0.571, 0.089, 0.471)
Er (0.577, 0.095, 0.805)
Er (0.625, 0.375, 0.750)
Er (0.905, 0.423, 0.695)
Er (0.911, 0.429, 0.029)

* theoretical density: 6.94 Mg/m³

=====

Quick one: least stable of them? x

=====

## w
DFT (GGA-PBE) results for a relaxed structure of LaErZn.

Unit cell a=5.081 b=5.081 c=3.779 alpha=90.00 beta=90.00 gamma=120.00
Atoms (fractional coordinates):
La (0.000, 0.000, 0.000)
Er (0.333, 0.667, 0.500)
Zn (0.667, 0.333, 0.500)

* theoretical density: 7.30 Mg/m³

=====

## x
DFT (GGA-PBE) results for a relaxed structure of LaErZn.

Unit cell a=5.057 b=5.054 c=5.050 alpha=60.06 beta=60.01 gamma=59.93
Atoms (fractional coordinates):
La (0.000, 0.000, 0.000)
Er (0.500, 0.500, 0.500)
Zn (0.250, 0.250, 0.250)

* theoretical density: 6.76 Mg/m³

=====

## y
DFT (GGA-PBE) results for a relaxed structure of LaErZn.

Unit cell a=6.747 b=6.747 c=6.747 alpha=148.55 beta=148.55 gamma=45.07
Atoms (fractional coordinates):
La (0.000, 0.000, 0.000)
Er (0.288, 0.288, 0.000)
Zn (0.664, 0.664, 0.000)

* theoretical density: 7.40 Mg/m³

=====

Quick one: least stable of them? x